VASP calculation (GGA-PBE) on a relaxed Hf6AsN3 crystal.

The value obtained for the total moment is 0.00 μB/atom. The formation energy from raw total energies comes out at -1.2411 eV/atom. Its space group is P2_1/m (11). As for the total DFT energy (no corrections): -203.52 eV/cell. The calculation puts the volume at 152.4 Å³/f.u.

extended XYZ file:
```
20
Lattice="9.881 0.000 0.000 0.000 3.269 0.000 -3.384 0.000 9.438" Properties=species:S:1:pos:R:3 pbc="T T T"
Hf -0.851 0.817 3.432
Hf 1.065 2.451 1.177
Hf 0.254 0.817 6.297
Hf 1.859 2.451 4.201
Hf 0.309 2.451 8.951
Hf 3.635 0.817 2.208
Hf 2.862 2.451 7.230
Hf 6.188 0.817 0.486
Hf 4.638 0.817 5.237
Hf 6.243 2.451 3.141
Hf 5.432 0.817 8.261
Hf 7.348 2.451 6.006
As -1.791 0.817 8.292
As 8.288 2.451 1.146
N -0.365 2.451 4.863
N 1.328 0.817 2.671
N 1.564 0.817 8.084
N 4.933 2.451 1.354
N 5.169 2.451 6.766
N 6.862 0.817 4.575
```


VASP calculation (GGA-PBE) on a relaxed BaTlHg2 crystal.

As for the energy above the most stable polymorph in this dataset: 0 meV per atom. The value obtained for the total moment is 0.00 μB/atom. Its space group is Fm-3m (225). As for the total DFT energy (no corrections): -6.48 eV/cell. The formation energy is -1.59 eV/f.u. The calculation puts the volume at 126.0 Å³/f.u.

extended XYZ file:
```
4
Lattice="0.000 3.979 3.979 3.979 0.000 3.979 3.979 3.979 0.000" Properties=species:S:1:pos:R:3 pbc="T T T"
Ba 0.000 0.000 0.000
Tl 3.979 3.979 3.979
Hg 1.990 1.990 1.990
Hg 5.969 5.969 5.969
```


VASP calculation (GGA-PBE) on a relaxed Nd3Hf crystal.

As for the energy above the most stable polymorph in this dataset: 0 meV per atom. The value obtained for the total moment is 0.00 μB/atom. Its space group is Pm-3m (221). As for the total DFT energy (no corrections): -23.50 eV/cell. The formation energy is 0.76 eV/f.u. The calculation puts the volume at 123.7 Å³/f.u.

extended XYZ file:
```
4
Lattice="4.983 0.000 0.000 0.000 4.983 0.000 0.000 0.000 4.983" Properties=species:S:1:pos:R:3 pbc="T T T"
Nd 0.000 0.000 2.491
Nd 0.000 2.491 0.000
Nd 2.491 0.000 0.000
Hf 2.491 2.491 2.491
```


VASP calculation (GGA-PBE) on a relaxed PrSmHo2Er5 crystal.

The value obtained for the total moment is 0.00 μB/atom. Its space group is I4/mcm (140). As for the total DFT energy (no corrections): -77.83 eV/cell. The formation energy is 2.55 eV/f.u. The calculation puts the volume at 290.6 Å³/f.u.

extended XYZ file:
```
18
Lattice="-4.452 4.452 7.329 4.452 -4.452 7.329 4.452 4.452 -7.329" Properties=species:S:1:pos:R:3 pbc="T T T"
Pr 0.000 0.000 3.665
Pr 0.000 0.000 10.994
Sm 4.452 0.000 3.665
Sm 0.000 4.452 3.665
Ho 5.458 1.006 0.000
Ho 1.006 3.446 0.000
Ho 3.446 1.006 7.329
Ho -1.006 3.446 7.329
Er 0.000 0.000 0.000
Er 2.636 1.816 -1.922
Er 2.636 -1.816 5.408
Er 2.636 1.816 1.922
Er 2.636 -1.816 9.251
Er 0.000 0.000 7.329
Er 1.816 6.268 -1.922
Er 1.816 2.636 5.408
Er 1.816 6.268 1.922
Er 1.816 2.636 9.251
```